Record 1
The following is a PBE calculation of crystalline AcTbTm2 at its relaxed geometry, from Alexandria via LeMat-Bulk.

The structure in extended XYZ format:
```
4
Lattice="5.048 0.000 0.000 0.000 5.181 0.000 0.000 0.000 5.181" Properties=species:S:1:pos:R:3 pbc="T T T"
Ac 2.524 0.000 0.000
Tm 0.000 0.000 2.590
Tm 0.000 2.590 0.000
Tb 2.524 2.590 2.590
```

Computed properties:
For the formation energy, the calculation gives 68.8 meV/atom. The calculation puts the energy above the lowest structure with this stoichiometry at 0.0 meV/atom.

Record 2
The following is a PBE calculation of crystalline AcTb2Tm at its relaxed geometry, from Alexandria via LeMat-Bulk.

The structure in extended XYZ format:
```
4
Lattice="3.573 0.000 0.000 1.787 3.094 0.000 1.787 1.031 12.640" Properties=species:S:1:pos:R:3 pbc="T T T"
Tm 3.573 2.063 6.320
Tb 1.787 1.031 9.109
Tb 5.360 3.094 3.531
Ac 0.000 0.000 0.000
```

Computed properties:
For the formation energy, the calculation gives 181.4 meV/atom. The calculation puts the energy above the lowest structure with this stoichiometry at 121.6 meV/atom.

Record 3
The following is a PBE calculation of crystalline AcTb8Tm6 at its relaxed geometry, from Alexandria via LeMat-Bulk.

The structure in extended XYZ format:
```
15
Lattice="7.898 0.322 2.153 1.727 7.713 2.153 0.386 0.322 8.177" Properties=species:S:1:pos:R:3 pbc="T T T"
Tb 7.613 6.357 9.494
Tb 4.562 6.757 3.138
Tb 8.569 5.074 4.517
Tb 5.448 1.601 9.345
Tb 2.992 7.526 7.348
Tb 1.441 3.283 7.966
Tb 2.397 2.001 2.989
Tb 7.018 0.832 5.135
Tm 5.683 3.602 3.685
Tm 6.044 6.676 6.135
Tm 3.966 1.682 6.348
Tm 2.607 4.949 5.250
Tm 4.327 4.756 8.797
Tm 7.403 3.409 7.233
Ac 0.000 0.000 0.000
```

Computed properties:
For the formation energy, the calculation gives 229.5 meV/atom.

Record 4
The following is a PBE calculation of crystalline Ac2Tb7Tm4 at its relaxed geometry, from Alexandria via LeMat-Bulk.

The structure in extended XYZ format:
```
13
Lattice="6.185 0.000 0.000 -3.092 5.356 0.000 0.000 0.000 13.251" Properties=species:S:1:pos:R:3 pbc="T T T"
Tb 1.977 3.424 10.273
Tb -1.977 3.424 2.978
Tb 2.232 0.000 10.273
Tb 3.953 0.000 2.978
Tb -1.116 1.933 10.273
Tb 0.000 0.000 0.000
Tb 1.116 1.933 2.978
Tm 0.000 0.000 5.238
Tm 3.092 1.785 6.625
Tm 0.000 3.571 6.625
Tm 0.000 0.000 8.013
Ac 3.092 1.785 0.000
Ac 0.000 3.571 0.000
```

Computed properties:
For the formation energy, the calculation gives 241.0 meV/atom.

Record 5
The following is a PBE calculation of crystalline AcTbY3Tm at its relaxed geometry, from Alexandria via LeMat-Bulk.

The structure in extended XYZ format:
```
12
Lattice="-3.396 -2.545 -3.314 -0.989 -6.129 10.096 -5.392 3.567 2.786" Properties=species:S:1:pos:R:3 pbc="T T T"
Y -5.674 0.955 0.708
Y -7.556 -2.446 5.249
Y -2.220 -2.661 4.319
Y -4.807 -0.106 5.009
Y -4.969 -5.001 4.560
Y -4.102 -6.062 8.860
Ac -7.296 -2.030 9.037
Ac -2.481 -3.077 0.532
Tm -2.495 0.283 2.340
Tm -7.282 -5.390 7.228
Tb -4.631 -3.055 7.092
Tb -5.146 -2.052 2.476
```

Computed properties:
For the formation energy, the calculation gives 227.6 meV/atom.

Record 6
The following is a PBE calculation of crystalline AcTb6YTm2 at its relaxed geometry, from Alexandria via LeMat-Bulk.

The structure in extended XYZ format:
```
20
Lattice="9.114 -1.987 -2.062 0.984 8.612 -2.038 0.984 -2.356 8.530" Properties=species:S:1:pos:R:3 pbc="T T T"
Tb 1.373 -0.799 6.036
Tb 4.330 6.806 1.137
Tb 2.252 4.741 2.480
Tb 4.273 2.959 0.631
Tb 9.709 5.068 -1.606
Tb 5.152 -0.800 6.036
Tb 6.752 -2.537 3.293
Tb 2.196 4.378 -1.382
Tb 8.886 -0.109 5.812
Tb 5.930 5.068 -1.606
Tb 6.809 1.309 3.799
Tb 8.830 -0.472 1.950
Tm 0.951 2.149 0.994
Tm 5.508 -0.080 1.153
Tm 10.131 2.120 3.436
Tm 5.574 4.349 3.277
Ac 3.263 7.782 -2.233
Ac 7.819 -3.513 6.663
Y 7.819 2.605 0.767
Y 3.263 1.663 3.663
```

Computed properties:
For the formation energy, the calculation gives 126.1 meV/atom.

Record 7
The following is a PBE calculation of crystalline AcTbYTm at its relaxed geometry, from Alexandria via LeMat-Bulk.

The structure in extended XYZ format:
```
4
Lattice="-4.269 0.707 -3.890 -5.525 -1.002 1.529 -3.721 4.442 0.539" Properties=species:S:1:pos:R:3 pbc="T T T"
Tb 0.000 0.000 0.000
Ac -10.136 3.110 -1.367
Tm -3.379 1.037 -0.456
Y -6.758 2.074 -0.911
```

Computed properties:
For the formation energy, the calculation gives 143.8 meV/atom. The calculation puts the energy above the lowest structure with this stoichiometry at 76.4 meV/atom.

Record 8
The following is a PBE calculation of crystalline AcTb3Y6Tm2 at its relaxed geometry, from Alexandria via LeMat-Bulk.

The structure in extended XYZ format:
```
12
Lattice="-1.978 -0.636 -5.855 -0.701 -4.671 4.036 -9.596 5.993 3.683" Properties=species:S:1:pos:R:3 pbc="T T T"
Y -9.382 1.192 -0.271
Y -7.840 3.140 2.293
Y -4.435 -2.454 -0.429
Y -3.321 0.851 -1.192
Y -8.953 -0.165 3.056
Y -2.892 -0.506 2.135
Tm -1.552 -1.981 -2.558
Tm -1.127 -3.326 0.739
Tb -5.712 -1.000 4.224
Tb -6.562 1.686 -2.360
Tb -6.137 0.343 0.932
Ac 0.000 0.000 0.000
```

Computed properties:
For the formation energy, the calculation gives 31.8 meV/atom.

Record 9
The following is a PBE calculation of crystalline AcTb2YTm at its relaxed geometry, from Alexandria via LeMat-Bulk.

The structure in extended XYZ format:
```
10
Lattice="-0.179 3.383 4.725 -0.670 -7.999 5.701 6.121 1.491 -0.835" Properties=species:S:1:pos:R:3 pbc="T T T"
Tb 0.626 -2.922 3.904
Tb 3.236 -0.751 2.449
Tb 2.037 -2.374 7.142
Tb 4.647 -0.204 5.687
Ac 5.838 1.435 0.982
Ac -0.566 -4.560 8.608
Tm 1.150 0.391 5.129
Tm 4.122 -3.516 4.462
Y 1.631 -5.724 5.948
Y 3.642 2.598 3.643
```

Computed properties:
For the formation energy, the calculation gives 40.6 meV/atom.

Record 10
The following is a PBE calculation of crystalline Ac2Tb3Y6Tm at its relaxed geometry, from Alexandria via LeMat-Bulk.

The structure in extended XYZ format:
```
12
Lattice="6.311 0.000 0.000 -3.154 5.466 0.000 -1.050 -1.819 11.761" Properties=species:S:1:pos:R:3 pbc="T T T"
Ac 0.002 3.643 0.000
Ac 3.155 1.823 0.000
Tb -2.102 3.646 5.881
Tb 4.208 0.002 5.881
Tb 1.053 1.824 5.881
Y 3.149 1.844 8.749
Y -1.042 1.804 3.013
Y -0.007 -0.012 8.746
Y 0.023 3.649 8.749
Y 2.113 3.659 3.016
Y 2.083 -0.001 3.013
Tm 0.000 0.000 0.000
```

Computed properties:
For the formation energy, the calculation gives 39.9 meV/atom.

Record 11
The following is a PBE calculation of crystalline AcTbYTm at its relaxed geometry, from Alexandria via LeMat-Bulk.

The structure in extended XYZ format:
```
4
Lattice="3.682 0.000 0.000 -1.841 3.190 0.002 -1.836 -1.069 11.789" Properties=species:S:1:pos:R:3 pbc="T T T"
Y -1.492 2.958 1.230
Tb 0.351 -0.238 7.434
Ac 2.190 0.828 4.350
Tm -1.490 0.824 10.209
```

Computed properties:
For the formation energy, the calculation gives 67.4 meV/atom. The calculation puts the energy above the lowest structure with this stoichiometry at 0.0 meV/atom.

Record 12
The following is a PBE calculation of crystalline AcTb6Y2Tm3 at its relaxed geometry, from Alexandria via LeMat-Bulk.

The structure in extended XYZ format:
```
12
Lattice="6.201 0.000 0.015 -3.099 5.371 0.015 -1.062 -1.839 11.679" Properties=species:S:1:pos:R:3 pbc="T T T"
Y 0.001 3.580 0.015
Y 3.100 1.790 0.015
Tb -1.048 1.792 3.006
Tb -0.036 3.543 8.704
Tb -0.013 -0.023 8.685
Tb 3.087 1.740 8.704
Tb 2.053 3.555 3.025
Tb 2.076 -0.012 3.006
Ac 0.000 0.000 0.000
Tm -2.076 3.554 5.855
Tm 1.020 1.766 5.855
Tm 4.115 -0.022 5.855
```

Computed properties:
For the formation energy, the calculation gives 34.9 meV/atom.

Record 13
The following is a PBE calculation of crystalline AcTb2Y5Tm at its relaxed geometry, from Alexandria via LeMat-Bulk.

The structure in extended XYZ format:
```
18
Lattice="5.558 0.000 0.000 -2.779 11.930 0.000 0.000 0.000 9.365" Properties=species:S:1:pos:R:3 pbc="T T T"
Y 2.779 4.568 2.122
Y 0.000 7.362 6.804
Y 2.779 11.733 0.188
Y 2.779 2.506 4.962
Y 0.000 11.347 7.001
Y 2.779 5.803 8.137
Y 0.000 6.127 3.454
Y 0.000 0.198 4.871
Y 2.779 0.583 2.318
Y 0.000 9.425 0.280
Tb 2.779 9.215 7.305
Tb 0.000 4.056 6.391
Tb 0.000 2.716 2.622
Tb 2.779 7.875 1.708
Ac 0.000 9.479 4.021
Ac 2.779 2.451 8.704
Tm 0.000 5.736 0.366
Tm 2.779 6.195 5.049
```

Computed properties:
For the formation energy, the calculation gives 159.3 meV/atom.

Record 14
The following is a PBE calculation of crystalline AcTbY2Tm at its relaxed geometry, from Alexandria via LeMat-Bulk.

The structure in extended XYZ format:
```
10
Lattice="5.823 0.000 0.000 0.000 9.802 -0.014 0.000 -2.094 6.022" Properties=species:S:1:pos:R:3 pbc="T T T"
Y 1.456 1.809 3.400
Y 4.367 5.898 2.608
Y 4.367 3.126 5.002
Y 1.456 4.582 1.006
Tb 1.456 7.968 2.230
Tb 4.367 -0.261 3.779
Ac 4.367 8.692 0.192
Ac 1.456 -0.984 5.817
Tm 1.456 5.161 4.571
Tm 4.367 2.547 1.438
```

Computed properties:
For the formation energy, the calculation gives 39.4 meV/atom.

Record 15
The following is a PBE calculation of crystalline AcTb2V at its relaxed geometry, from Alexandria via LeMat-Bulk.

The structure in extended XYZ format:
```
4
Lattice="-0.452 -0.792 3.404 2.794 -0.286 2.129 0.001 11.093 4.406" Properties=species:S:1:pos:R:3 pbc="T T T"
V 0.000 0.000 0.000
Ac 1.171 5.008 4.970
Tb 0.186 8.366 3.796
Tb 2.156 1.649 6.143
```

Computed properties:
For the formation energy, the calculation gives 713.4 meV/atom.

Record 16
The following is a PBE calculation of crystalline AcTb9Y2 at its relaxed geometry, from Alexandria via LeMat-Bulk.

The structure in extended XYZ format:
```
12
Lattice="5.090 0.000 0.000 0.000 5.090 0.000 0.000 0.000 15.290" Properties=species:S:1:pos:R:3 pbc="T T T"
Ac 0.000 0.000 0.000
Tb 2.545 2.545 10.133
Tb 2.545 0.000 7.645
Tb 2.545 0.000 2.648
Tb 2.545 2.545 5.156
Tb 0.000 2.545 12.642
Tb 2.545 2.545 0.000
Tb 0.000 2.545 7.645
Tb 2.545 0.000 12.642
Tb 0.000 2.545 2.648
Y 0.000 0.000 5.137
Y 0.000 0.000 10.153
```

Computed properties:
For the formation energy, the calculation gives 34.6 meV/atom.

Record 17
The following is a PBE calculation of crystalline AcTb4Y at its relaxed geometry, from Alexandria via LeMat-Bulk.

The structure in extended XYZ format:
```
12
Lattice="-3.888 3.482 -2.961 2.625 -2.579 -6.481 -6.287 -6.863 0.185" Properties=species:S:1:pos:R:3 pbc="T T T"
Tb 0.000 0.000 0.000
Tb -6.237 -2.980 -1.395
Tb -4.958 -4.237 -4.553
Tb 1.313 -1.290 -3.240
Tb -6.244 -7.037 -6.157
Tb -2.592 -1.724 -4.704
Tb -1.313 -2.980 -7.862
Tb -1.306 1.076 -3.100
Ac -1.296 -2.776 -1.563
Ac -2.365 -6.666 -4.733
Y -3.646 -5.341 -1.494
Y -0.016 -4.101 -4.802
```

Computed properties:
For the formation energy, the calculation gives 192.7 meV/atom. The calculation puts the energy above the lowest structure with this stoichiometry at 140.9 meV/atom.

Record 18
The following is a PBE calculation of crystalline Ac2Tb5Y12 at its relaxed geometry, from Alexandria via LeMat-Bulk.

The structure in extended XYZ format:
```
19
Lattice="-4.254 5.891 5.515 -4.882 -3.867 -7.179 -2.120 -6.419 5.222" Properties=species:S:1:pos:R:3 pbc="T T T"
Y -7.171 -2.003 -0.269
Y -7.766 -5.405 -0.216
Y -7.064 1.504 0.489
Y -6.537 2.921 3.817
Y -5.411 -4.441 -2.552
Y -4.037 -0.542 0.576
Y -7.218 -3.853 2.983
Y -3.490 1.010 3.774
Y -4.084 -2.392 3.827
Y -5.845 0.046 6.110
Y -4.718 -7.316 -0.259
Y -4.191 -5.899 3.069
Tb -5.062 -1.004 -2.832
Tb -6.193 -3.391 6.391
Tb -4.584 -3.965 0.700
Tb -6.671 -0.430 2.859
Tb -1.060 -3.210 2.611
Ac -0.894 1.238 1.159
Ac -3.360 4.653 4.356
```

Computed properties:
For the formation energy, the calculation gives 137.9 meV/atom. The calculation puts the energy above the lowest structure with this stoichiometry at 6.6 meV/atom.

Record 19
The following is a PBE calculation of crystalline Ac3TbY2 at its relaxed geometry, from Alexandria via LeMat-Bulk.

The structure in extended XYZ format:
```
12
Lattice="7.563 0.000 0.000 -3.781 4.653 -2.679 0.000 1.022 12.519" Properties=species:S:1:pos:R:3 pbc="T T T"
Y 4.726 2.150 6.413
Y -0.945 3.525 3.427
Y 0.944 4.036 9.687
Y 2.837 1.639 0.153
Ac -0.945 1.635 0.150
Ac -0.944 5.419 6.710
Ac 0.945 2.146 6.409
Ac 4.725 0.255 3.130
Ac 4.726 4.040 9.690
Ac 2.836 3.529 3.431
Tb -2.836 4.908 0.451
Tb 6.618 0.766 9.389
```

Computed properties:
For the formation energy, the calculation gives 73.4 meV/atom.

Record 20
The following is a PBE calculation of crystalline AcTb6Y12 at its relaxed geometry, from Alexandria via LeMat-Bulk.

The structure in extended XYZ format:
```
19
Lattice="-3.007 -1.729 -8.071 -6.292 -3.901 4.729 -2.633 8.348 0.741" Properties=species:S:1:pos:R:3 pbc="T T T"
Tb -9.234 -2.160 -2.737
Tb -2.698 4.877 0.136
Tb -9.029 3.384 2.112
Tb -2.904 -0.667 -4.713
Tb -7.221 4.580 -4.930
Tb -4.711 -1.862 2.329
Y -5.869 3.978 0.990
Y -6.063 -1.260 -3.591
Y -9.429 0.692 -0.391
Y -3.399 1.433 1.282
Y -6.820 0.794 2.026
Y -3.501 -1.316 -1.122
Y -5.015 4.543 -2.337
Y -8.431 4.034 -1.479
Y -5.112 1.923 -4.627
Y -8.533 1.285 -3.883
Y -6.917 -1.825 -0.264
Y -2.503 2.025 -2.210
Ac 0.000 0.000 0.000
```

Computed properties:
For the formation energy, the calculation gives 204.7 meV/atom.

Record 21
The following is a PBE calculation of crystalline AcTb5Y6 at its relaxed geometry, from Alexandria via LeMat-Bulk.

The structure in extended XYZ format:
```
12
Lattice="-6.386 5.317 8.530 -5.326 -3.226 -0.460 -0.813 -5.182 3.380" Properties=species:S:1:pos:R:3 pbc="T T T"
Y -4.980 -2.260 3.036
Y -8.750 1.551 6.019
Y -2.961 0.540 2.051
Y -7.544 -0.832 8.414
Y -7.036 -5.043 3.989
Y -5.488 1.951 7.460
Tb -2.046 -2.803 0.973
Tb -5.856 1.045 4.035
Tb -4.623 -1.332 6.439
Tb -7.901 -1.760 5.010
Tb -4.092 -5.606 1.946
Ac 0.000 0.000 0.000
```

Computed properties:
For the formation energy, the calculation gives 27.8 meV/atom. The calculation puts the energy above the lowest structure with this stoichiometry at 0.0 meV/atom.